--- P ---
Entry from Alexandria via LeMat-Bulk: an optimized crystal structure of SrLiInPb2 (PBE).

Cell and atoms, written as POSCAR:
```
SrLiInPb2
1.0
6.731 0.000 0.000
0.000 6.308 0.000
0.000 0.000 6.813
Sr Pb In Li
2 4 2 2
direct
0.768 0.750 0.500 Sr
0.232 0.250 0.500 Sr
0.732 0.250 0.745 Pb
0.732 0.250 0.255 Pb
0.268 0.750 0.255 Pb
0.268 0.750 0.745 Pb
0.649 0.750 0.000 In
0.351 0.250 0.000 In
0.000 0.000 0.000 Li
0.000 0.500 0.000 Li
```

Computed properties:
N(E_F)	5.8	states/eV/cell



--- Q ---
Entry from Alexandria via LeMat-Bulk: an optimized crystal structure of SrLiInPb2 (PBE).

Cell and atoms, written as POSCAR:
```
SrLiInPb2
1.0
5.293 0.000 0.000
0.000 5.224 0.000
0.000 0.000 5.293
Sr In Pb Li
1 1 2 1
direct
0.500 0.500 0.500 Sr
0.000 0.500 0.000 In
0.000 0.000 0.500 Pb
0.500 0.000 0.000 Pb
0.000 0.000 0.000 Li
```

Computed properties:
N(E_F)	2.2	states/eV/cell



Of them, Q has the lowest stability.



--- P ---
Entry from Alexandria via LeMat-Bulk: an optimized crystal structure of LiThInPb (PBE).

Cell and atoms, written as POSCAR:
```
LiThInPb
1.0
5.334 0.000 0.000
2.667 4.620 0.000
2.667 1.540 4.356
In Pb Th Li
1 1 1 1
direct
0.000 0.000 0.000 In
0.500 0.500 0.500 Pb
0.750 0.750 0.750 Th
0.250 0.250 0.250 Li
```

Computed properties:
N(E_F)	2.9	states/eV/cell



--- Q ---
Entry from Alexandria via LeMat-Bulk: an optimized crystal structure of LiThInPb (PBE).

Cell and atoms, written as POSCAR:
```
LiThInPb
1.0
4.574 0.000 0.000
0.000 4.786 0.000
0.000 0.000 4.831
Li In Pb Th
1 1 1 1
direct
0.000 0.000 0.000 Li
0.500 0.500 0.000 In
0.500 0.000 0.500 Pb
0.000 0.500 0.500 Th
```

Computed properties:
N(E_F)	1.4	states/eV/cell



Of them, P has the lowest stability.